Below is ZnHOs after structural relaxation, with properties calculated at the PBE level.

Computed properties:
Final energy (eV/atom): -5.105
Polymorph energy (0 for the lowest one) (eV/atom): 0.000

Geometry as CIF:
```
data_ZnHOs
_cell_length_a 6.111
_cell_length_b 2.823
_cell_length_c 9.108
_cell_angle_alpha 90.00
_cell_angle_beta 120.07
_cell_angle_gamma 90.00
_symmetry_space_group_name_H-M 'P 1'
_symmetry_Int_Tables_number 1
loop_
_symmetry_equiv_pos_as_xyz
'x,y,z'
loop_
_atom_site_label
_atom_site_type_symbol
_atom_site_fract_x
_atom_site_fract_y
_atom_site_fract_z
H1 H 0.960 0.000 0.507
H2 H 0.960 0.500 0.007
H3 H 0.187 0.000 0.157
H4 H 0.187 0.500 0.657
Zn1 Zn 0.567 0.000 0.972
Zn2 Zn 0.567 0.500 0.472
Zn3 Zn 0.072 0.000 0.801
Zn4 Zn 0.072 0.500 0.301
Os1 Os 0.706 0.000 0.293
Os2 Os 0.706 0.500 0.793
Os3 Os 0.304 0.000 0.601
Os4 Os 0.304 0.500 0.101
```

---

Below is OF after structural relaxation, with properties calculated at the PBE level.

Computed properties:
Formation energy without anion corrections (eV/f.u.): -0.06
Final energy (eV/atom): -3.442
Polymorph energy (0 for the lowest one) (eV/atom): 0.118

Geometry as CIF:
```
data_OF
_cell_length_a 3.739
_cell_length_b 4.053
_cell_length_c 4.373
_cell_angle_alpha 114.58
_cell_angle_beta 102.76
_cell_angle_gamma 97.35
_symmetry_space_group_name_H-M 'P 1'
_symmetry_Int_Tables_number 1
loop_
_symmetry_equiv_pos_as_xyz
'x,y,z'
loop_
_atom_site_label
_atom_site_type_symbol
_atom_site_fract_x
_atom_site_fract_y
_atom_site_fract_z
O1 O 0.120 0.008 0.125
O2 O 0.980 0.113 0.354
F1 F 0.339 0.386 0.072
F2 F 0.783 0.776 0.719
```

---

Below is Ho4PaRu5 after structural relaxation, with properties calculated at the PBE level.

Computed properties:
Final energy (eV/atom): -7.578
Polymorph energy (0 for the lowest one) (eV/atom): 0.289
Formation enthalpy at 0 K (meV/atom): -159

Geometry as CIF:
```
data_Ho4PaRu5
_cell_length_a 5.487
_cell_length_b 6.779
_cell_length_c 6.779
_cell_angle_alpha 80.57
_cell_angle_beta 66.13
_cell_angle_gamma 66.13
_symmetry_space_group_name_H-M 'P 1'
_symmetry_Int_Tables_number 1
loop_
_symmetry_equiv_pos_as_xyz
'x,y,z'
loop_
_atom_site_label
_atom_site_type_symbol
_atom_site_fract_x
_atom_site_fract_y
_atom_site_fract_z
Ho1 Ho 0.397 0.397 0.753
Ho2 Ho 0.794 0.753 0.603
Ho3 Ho 0.150 0.247 0.397
Ho4 Ho 0.547 0.603 0.247
Pa1 Pa 0.180 0.000 0.000
Ru1 Ru 0.849 0.341 0.873
Ru2 Ru 0.190 0.873 0.659
Ru3 Ru 0.723 0.127 0.341
Ru4 Ru 0.064 0.659 0.127
Ru5 Ru 0.617 0.000 0.000
```

---

> Which of these has the highest final energy?

OF